BaTl2SnSb2 | the Alexandria database | PBE | relaxed; ΔE_f (raw) = -2.0 eV per formula unit; raw total energy = -3.48 eV per atom; space-group type = Pmc2_1
1.0
4.9334 0.0000 0.0000
0.0000 8.1022 0.0000
0.0000 0.0000 10.5531
Ba Tl Sn Sb
2 4 2 4
Direct
0.0000 0.9917 0.3948
0.0000 0.4917 0.6052
0.5000 0.0416 0.0550
0.0000 0.3367 0.1817
0.5000 0.5416 0.9450
0.0000 0.8367 0.8183
0.5000 0.1520 0.6981
0.5000 0.6520 0.3019
0.0000 0.2164 0.8692
0.5000 0.3070 0.4045
0.0000 0.7164 0.1308
0.5000 0.8070 0.5955